# 1
VASP calculation (PBE-GGA) on a geometry-optimized ZrSe2 structure.

Cell lengths 7.2993, 3.9934, 8.7512 Å; angles 90.00, 90.00, 90.00 degrees
Closest atoms and distances in Å follow each position.
Fractional coordinates of all 12 atoms:
Zr (0.2424, 0.2500, 0.1205)  7 Se 2.76-2.93
Zr (0.2576, 0.7500, 0.6205)  7 Se 2.76-2.93
Zr (0.7424, 0.2500, 0.3795)  7 Se 2.76-2.93
Zr (0.7576, 0.7500, 0.8795)  7 Se 2.76-2.93
Se (0.0251, 0.7500, 0.3470)  5 Zr 2.89-3.23, 2 Se 3.23
Se (0.1383, 0.7500, 0.9205)  4 Zr 2.76-2.80
Se (0.3617, 0.2500, 0.4205)  4 Zr 2.76-2.80
Se (0.4749, 0.2500, 0.8470)  5 Zr 2.89-3.23, 2 Se 3.23
Se (0.5251, 0.7500, 0.1530)  5 Zr 2.89-3.23, 2 Se 3.23
Se (0.6383, 0.7500, 0.5795)  4 Zr 2.76-2.80
Se (0.8617, 0.2500, 0.0795)  4 Zr 2.76-2.80
Se (0.9749, 0.2500, 0.6530)  5 Zr 2.89-3.23, 2 Se 3.23

Properties
Formation energy from raw total energies, meV per atom: -1157
DOS(E_F), states/eV/f.u.: 0.5

# 2
VASP calculation (PBE-GGA) on a geometry-optimized Zr2Se structure.

Cell lengths 12.1949, 12.1949, 12.1949 Å; angles 164.48, 164.48, 22.01 degrees
Closest atoms and distances in Å follow each position.
Fractional coordinates of all 6 atoms:
Zr (0.3049, 0.5549, 0.7500)  4 Se 2.87, 2 Zr 3.10
Zr (0.4451, 0.6951, 0.7500)  4 Se 2.87, 2 Zr 3.10
Zr (0.5549, 0.3049, 0.2500)  4 Se 2.87, 2 Zr 3.10
Zr (0.6951, 0.4451, 0.2500)  4 Se 2.87, 2 Zr 3.10
Se (0.1250, 0.8750, 0.2500)  8 Zr 2.87
Se (0.8750, 0.1250, 0.7500)  8 Zr 2.87

Properties
Formation energy from raw total energies, meV per atom: -525
DOS(E_F), states/eV/f.u.: 2.3

# 3
VASP calculation (PBE-GGA) on a geometry-optimized Zr2Se structure.

Cell lengths 12.7182, 15.8870, 3.6392 Å; angles 90.00, 90.00, 90.00 degrees
Closest atoms and distances in Å follow each position.
Fractional coordinates of all 36 atoms:
Zr (0.0322, 0.1102, 0.0000)  3 Se 2.82-2.97
Zr (0.0775, 0.7471, 0.5000)  4 Se 2.77-2.78
Zr (0.0836, 0.5805, 0.0000)  3 Se 2.75-2.88
Zr (0.1225, 0.4242, 0.5000)  4 Se 2.75-2.94
Zr (0.1495, 0.9767, 0.5000)  4 Se 2.76-2.79
Zr (0.1991, 0.2037, 0.5000)  5 Se 2.75-2.77
Zr (0.3009, 0.7037, 0.0000)  5 Se 2.75-2.77
Zr (0.3505, 0.4767, 0.0000)  4 Se 2.76-2.79
Zr (0.3775, 0.9242, 0.0000)  4 Se 2.75-2.94
Zr (0.4164, 0.0805, 0.5000)  3 Se 2.75-2.88
Zr (0.4225, 0.2471, 0.0000)  4 Se 2.77-2.78
Zr (0.4678, 0.6102, 0.5000)  3 Se 2.82-2.97
Zr (0.5322, 0.3898, 0.5000)  3 Se 2.82-2.97
Zr (0.5775, 0.7529, 0.0000)  4 Se 2.77-2.78
Zr (0.5836, 0.9195, 0.5000)  3 Se 2.75-2.88
Zr (0.6225, 0.0758, 0.0000)  4 Se 2.75-2.94
Zr (0.6495, 0.5233, 0.0000)  4 Se 2.76-2.79
Zr (0.6991, 0.2963, 0.0000)  5 Se 2.75-2.77
Zr (0.8009, 0.7963, 0.5000)  5 Se 2.75-2.77
Zr (0.8505, 0.0233, 0.5000)  4 Se 2.76-2.79
Zr (0.8775, 0.5758, 0.5000)  4 Se 2.75-2.94
Zr (0.9164, 0.4195, 0.0000)  3 Se 2.75-2.88
Zr (0.9225, 0.2529, 0.5000)  4 Se 2.77-2.78
Zr (0.9678, 0.8898, 0.0000)  3 Se 2.82-2.97
Se (0.0790, 0.2936, 0.0000)  8 Zr 2.77-2.97
Se (0.1831, 0.8486, 0.0000)  7 Zr 2.75-2.82
Se (0.2459, 0.5806, 0.5000)  8 Zr 2.75-2.94
Se (0.2541, 0.0806, 0.0000)  8 Zr 2.75-2.94
Se (0.3169, 0.3486, 0.5000)  7 Zr 2.75-2.82
Se (0.4210, 0.7936, 0.5000)  8 Zr 2.77-2.97
Se (0.5790, 0.2064, 0.5000)  8 Zr 2.77-2.97
Se (0.6831, 0.6514, 0.5000)  7 Zr 2.75-2.82
Se (0.7459, 0.9194, 0.0000)  8 Zr 2.75-2.94
Se (0.7541, 0.4194, 0.5000)  8 Zr 2.75-2.94
Se (0.8169, 0.1514, 0.0000)  7 Zr 2.75-2.82
Se (0.9210, 0.7064, 0.0000)  8 Zr 2.77-2.97

Properties
Formation energy from raw total energies, meV per atom: -933
DOS(E_F), states/eV/f.u.: 2.2